No. 1
Tl2Cd, optimized geometry, DFT PBE-GGA; calculated density = 3.2 g cm⁻³; energy above the most stable polymorph in this dataset = 56.09 kJ/mol of atoms; space group = No. 227; VASP energy = -3.780 eV per formula unit
1.0
-2.763 8.706 0.443
2.151 5.116 7.268
6.086 6.776 -0.818
Tl Cd
4 2
direct
0.375 0.375 0.375
0.875 0.375 0.375
0.375 0.875 0.375
0.375 0.375 0.875
0.250 0.250 0.250
0.500 0.500 0.500

No. 2
Hf4GaBi, optimized geometry, DFT PBE-GGA; calculated density = 12.7 g cm⁻³; space group = No. 97; VASP energy = -48.287 eV per formula unit
1.0
-3.425 3.425 2.758
3.425 -3.425 2.758
3.425 3.425 -2.758
Hf Bi Ga
4 1 1
direct
0.900 0.100 0.500
0.100 0.600 0.200
0.400 0.900 0.800
0.600 0.400 0.500
0.500 0.500 0.000
0.000 0.000 0.000

No. 3
Pr4I3Br2N, optimized geometry, DFT PBE-GGA; calculated density = 5.7 g cm⁻³; space group = No. 12; VASP energy = -49.804 eV per formula unit
1.0
9.475 -2.008 0.000
9.475 2.008 0.000
-1.973 0.000 8.558
Br I Pr N
2 3 4 1
direct
0.841 0.841 0.670
0.159 0.159 0.330
0.828 0.828 0.186
0.500 0.500 0.500
0.172 0.172 0.814
0.634 0.634 0.070
0.000 0.000 0.194
0.366 0.366 0.930
0.000 0.000 0.806
0.500 0.500 0.000

No. 4
KZnFeTe3, optimized geometry, DFT PBE-GGA; calculated density = 5.2 g cm⁻³; energy above the most stable polymorph in this dataset = 0.17 kJ/mol of atoms; space group = No. 11; VASP energy = -21.927 eV per formula unit
1.0
9.122 0.000 0.000
0.000 4.198 0.000
-3.946 0.000 9.064
Zn Te Fe K
2 6 2 2
direct
0.433 0.250 0.128
0.567 0.750 0.872
0.677 0.750 0.178
0.637 0.250 0.478
0.323 0.250 0.822
0.213 0.750 0.108
0.787 0.250 0.892
0.363 0.750 0.522
0.486 0.750 0.319
0.514 0.250 0.681
0.976 0.750 0.718
0.024 0.250 0.282

No. 5
LiGaPt, optimized geometry, DFT PBE-GGA; calculated density = 9.0 g cm⁻³; space group = No. 216; VASP energy = -12.509 eV per formula unit
1.0
0.000 2.922 2.922
2.922 0.000 2.922
2.922 2.922 0.000
Pt Li Ga
1 1 1
direct
0.750 0.750 0.750
0.250 0.250 0.250
0.000 0.000 0.000

No. 6
KAu, optimized geometry, DFT PBE-GGA; calculated density = 5.0 g cm⁻³; space group = No. 166; VASP energy = -4.887 eV per formula unit
1.0
2.368 1.367 4.071
-2.368 1.367 4.071
0.000 -2.734 4.071
K Au
1 1
direct
0.500 0.500 0.500
0.000 0.000 0.000

No. 7
NbSi2Ag, optimized geometry, DFT PBE-GGA; calculated density = 6.5 g cm⁻³; space group = No. 216; VASP energy = -21.887 eV per formula unit
1.0
4.152 -0.654 1.661
0.762 0.472 4.430
0.870 -3.634 2.543
Si Ag Nb
2 1 1
direct
0.500 0.500 0.500
0.750 0.750 0.750
0.000 0.000 0.000
0.250 0.250 0.250

No. 8
HoF3, optimized geometry, DFT PBE-GGA; calculated density = 8.1 g cm⁻³; space group = No. 62; VASP energy = -26.692 eV per formula unit
1.0
-3.126 -5.198 -1.251
3.751 -0.930 -5.508
2.879 -2.297 2.349
Ho F
4 12
direct
0.130 0.250 0.061
0.630 0.250 0.439
0.870 0.750 0.939
0.370 0.750 0.561
0.522 0.750 0.091
0.022 0.750 0.409
0.668 0.939 0.625
0.478 0.250 0.909
0.168 0.939 0.875
0.832 0.439 0.125
0.978 0.250 0.591
0.668 0.561 0.625
0.332 0.061 0.375
0.832 0.061 0.125
0.168 0.561 0.875
0.332 0.439 0.375

No. 9
GdSiH2O4, optimized geometry, DFT PBE-GGA; calculated density = 4.9 g cm⁻³; energy above the most stable polymorph in this dataset = 35.83 kJ/mol of atoms; space group = No. 141; VASP energy = -49.805 eV per formula unit
1.0
-3.255 -3.255 4.055
-3.255 3.255 -4.055
3.255 -3.255 -4.055
O H Gd Si
8 4 2 2
direct
0.187 0.139 0.325
0.186 0.047 0.861
0.314 0.612 0.925
0.814 0.675 0.862
0.813 0.138 0.953
0.313 0.703 0.388
0.687 0.075 0.389
0.686 0.611 0.297
0.500 0.981 0.481
0.000 0.769 0.769
0.000 0.231 0.231
0.500 0.519 0.019
0.500 0.250 0.750
0.000 0.500 0.500
0.000 0.000 0.000
0.500 0.750 0.250

No. 10
YAlNiPt, optimized geometry, DFT PBE-GGA; calculated density = 8.9 g cm⁻³; space group = No. 216; VASP energy = -24.793 eV per formula unit
1.0
0.000 3.256 3.256
3.256 0.000 3.256
3.256 3.256 0.000
Ni Pt Al Y
1 1 1 1
direct
0.750 0.750 0.750
0.250 0.250 0.250
0.000 0.000 0.000
0.500 0.500 0.500

No. 11
NbAlCo, optimized geometry, DFT PBE-GGA; calculated density = 6.8 g cm⁻³; space group = No. 62; VASP energy = -21.776 eV per formula unit
1.0
6.296 0.000 0.000
0.000 3.917 0.000
0.000 0.000 7.067
Co Nb Al
4 4 4
direct
0.856 0.250 0.575
0.644 0.750 0.075
0.356 0.250 0.925
0.144 0.750 0.425
0.496 0.250 0.288
0.004 0.750 0.788
0.996 0.250 0.212
0.504 0.750 0.712
0.732 0.250 0.902
0.232 0.250 0.598
0.268 0.750 0.098
0.768 0.750 0.402

No. 12
Tb3Fe, optimized geometry, DFT PBE-GGA; calculated density = 8.6 g cm⁻³; space group = No. 139; calculated formation energy = 1.3 eV per formula unit; VASP energy = -20.850 eV per formula unit
1.0
3.467 -4.475 -1.373
-1.701 -4.930 2.595
-2.789 4.012 -3.172
Fe Tb
1 3
direct
0.000 0.000 0.000
0.250 0.750 0.500
0.750 0.250 0.500
0.500 0.500 0.000

No. 13
NiSn5, optimized geometry, DFT PBE-GGA; calculated density = 7.2 g cm⁻³; space group = No. 122; VASP energy = -25.384 eV per formula unit
1.0
-6.855 6.855 3.199
6.855 -6.855 3.199
6.855 6.855 -3.199
Sn Ni
20 4
direct
0.364 0.581 0.926
0.094 0.669 0.283
0.562 0.636 0.217
0.656 0.438 0.074
0.765 0.397 0.688
0.827 0.959 0.812
0.923 0.235 0.631
0.709 0.077 0.312
0.386 0.812 0.717
0.041 0.853 0.869
0.875 0.342 0.967
0.147 0.015 0.188
0.375 0.908 0.033
0.985 0.173 0.131
0.188 0.906 0.574
0.419 0.344 0.783
0.603 0.291 0.369
0.658 0.625 0.533
0.331 0.614 0.426
0.092 0.125 0.467
0.285 0.625 0.160
0.875 0.715 0.340
0.375 0.535 0.660
0.465 0.125 0.840

No. 14
RbNdSmS3, optimized geometry, DFT PBE-GGA; calculated density = 4.0 g cm⁻³; space group = No. 63; VASP energy = -32.338 eV per formula unit
1.0
-5.486 5.723 -1.620
4.639 -5.955 -2.916
-8.028 -7.167 1.865
S Sm Rb Nd
6 2 2 2
direct
0.114 0.886 0.963
0.886 0.114 0.037
0.438 0.562 0.750
0.886 0.114 0.463
0.114 0.886 0.537
0.562 0.438 0.250
0.500 0.500 0.000
0.500 0.500 0.500
0.766 0.234 0.750
0.234 0.766 0.250
0.973 0.027 0.250
0.027 0.973 0.750

No. 15
LuSnPO, optimized geometry, DFT PBE-GGA; calculated density = 7.7 g cm⁻³; energy above the most stable polymorph in this dataset = 33.73 kJ/mol of atoms; space group = No. 129; VASP energy = -23.384 eV per formula unit
1.0
5.332 0.000 0.000
0.000 5.332 0.000
0.000 0.000 5.170
Sn Lu O P
2 2 2 2
direct
0.250 0.250 0.022
0.750 0.750 0.978
0.750 0.250 0.500
0.250 0.750 0.500
0.750 0.250 0.000
0.250 0.750 0.000
0.250 0.250 0.527
0.750 0.750 0.473

No. 16
Hf4CuAsN2, optimized geometry, DFT PBE-GGA; calculated density = 12.1 g cm⁻³; space group = No. 187; VASP energy = -73.282 eV per formula unit
1.0
-2.913 -1.069 1.123
1.012 -0.842 -3.026
5.695 -10.455 4.814
Hf Cu N As
4 1 2 1
direct
0.000 0.000 0.342
0.667 0.333 0.149
0.000 0.000 0.658
0.667 0.333 0.851
0.667 0.333 0.500
0.333 0.667 0.246
0.333 0.667 0.754
0.000 0.000 0.000

No. 17
Ni2GeOs, optimized geometry, DFT PBE-GGA; calculated density = 12.5 g cm⁻³; space group = No. 216; VASP energy = -26.797 eV per formula unit
1.0
-2.154 -0.170 3.538
-4.016 -1.027 -0.066
-1.228 -3.662 1.506
Ni Os Ge
2 1 1
direct
0.750 0.750 0.750
0.000 0.000 0.000
0.250 0.250 0.250
0.500 0.500 0.500

No. 18
NdMg, optimized geometry, DFT PBE-GGA; calculated density = 4.9 g cm⁻³; energy above the most stable polymorph in this dataset = 6.16 kJ/mol of atoms; space group = No. 59; VASP energy = -6.407 eV per formula unit
1.0
-4.632 -1.151 -1.007
1.176 -4.579 -0.173
-0.953 -0.429 4.873
Mg Nd
2 2
direct
0.911 0.500 0.500
0.923 0.000 0.000
0.444 0.500 0.000
0.389 0.000 0.500

No. 19
Sc3Ga3PdPt2, optimized geometry, DFT PBE-GGA; calculated density = 8.9 g cm⁻³; space group = No. 189; VASP energy = -54.498 eV per formula unit
1.0
-3.130 -4.210 -5.134
7.067 1.889 -0.610
0.884 -2.753 1.719
Sc Ga Pt Pd
3 3 2 1
direct
0.396 0.396 0.000
0.604 0.000 0.000
0.000 0.604 0.000
0.275 0.000 0.500
0.725 0.725 0.500
0.000 0.275 0.500
0.667 0.333 0.500
0.333 0.667 0.500
0.000 0.000 0.000

No. 20
ThAl3Pt, optimized geometry, DFT PBE-GGA; calculated density = 8.5 g cm⁻³; space group = No. 62; VASP energy = -28.680 eV per formula unit
1.0
-4.913 6.757 -1.244
-2.454 -2.274 -2.659
-6.331 -3.048 8.449
Th Al Pt
4 12 4
direct
0.315 0.750 0.986
0.685 0.250 0.014
0.815 0.750 0.514
0.185 0.250 0.486
0.060 0.250 0.914
0.886 0.250 0.300
0.560 0.250 0.586
0.858 0.250 0.720
0.114 0.750 0.700
0.440 0.750 0.414
0.142 0.750 0.280
0.940 0.750 0.086
0.642 0.750 0.220
0.358 0.250 0.780
0.386 0.250 0.200
0.614 0.750 0.800
0.098 0.250 0.147
0.402 0.750 0.647
0.598 0.250 0.353
0.902 0.750 0.853